1.
{
  "formula": "MgAl3Si",
  "functional": "GGA-PBE",
  "state": "relaxed",
  "m_tot_mub_per_atom": 0.000,
  "e_form_raw_ev_per_atom": 0.52,
  "e_tot_ev_per_atom": -3.131,
  "lattice": [[4.8452, 0.0000, 0.0000], [0.0000, 4.8452, 0.0000], [0.0000, 0.0000, 4.8452]],
  "species": ["Mg", "Al", "Al", "Al", "Si"],
  "frac_coords": [[0.0000, 0.0000, 0.0000], [0.0000, 0.5000, 0.5000], [0.5000, 0.0000, 0.5000], [0.5000, 0.5000, 0.0000], [0.5000, 0.5000, 0.5000]]
}


2.
{
  "formula": "MgAlSi2",
  "functional": "GGA-PBE",
  "state": "relaxed",
  "m_tot_mub_per_atom": 0.000,
  "e_form_raw_ev_per_atom": 0.22,
  "e_tot_ev_per_atom": -3.829,
  "lattice": [[2.8982, 0.0000, 0.0000], [0.0000, 4.1717, 0.0000], [0.0000, 0.0000, 5.5389]],
  "species": ["Mg", "Al", "Si", "Si"],
  "frac_coords": [[0.0000, 0.0000, 0.0000], [0.5000, 0.5000, 0.6993], [0.0000, 0.0000, 0.4997], [0.5000, 0.5000, 0.2227]]
}


3.
{
  "formula": "MgAlSi2",
  "functional": "GGA-PBE",
  "state": "relaxed",
  "m_tot_mub_per_atom": 0.000,
  "e_form_raw_ev_per_atom": 0.14,
  "e_tot_ev_per_atom": -3.902,
  "lattice": [[2.7607, 0.0000, 0.0000], [0.0000, 4.4810, 0.0000], [0.0000, 0.0000, 5.3913]],
  "species": ["Mg", "Al", "Si", "Si"],
  "frac_coords": [[0.0000, 0.0000, 0.0000], [0.5000, 0.5000, 0.2542], [0.5000, 0.0000, 0.5150], [0.5000, 0.5000, 0.7541]]
}